## TaCr3Ag2S8 (PBE-GGA)

Data for an optimized crystal structure of TaCr3Ag2S8.

As for the space group: Pm. The calculation puts the density of states at the Fermi level at 5.4 states/eV/f.u. The formation energy from raw total energies is -8.35 eV per formula unit. Its energy above the most stable polymorph in this dataset is 43.8 meV/atom.

Cell: 5.9229 3.4593 12.9326 Å, 90.00 90.16 90.00°
Last column: nearest neighbours and their distance in Å.
Positions (direct):
Ta (0.0000, 0.0000, 0.0000)  6 S 2.41-2.54
Cr (0.4543, 0.5000, 0.9982)  6 S 2.41-2.44
Cr (0.5140, 0.5000, 0.5050)  6 S 2.35-2.43
Cr (0.9797, 0.0000, 0.4909)  6 S 2.35-2.43
Ag (0.0050, 0.0000, 0.7393)  6 S 2.63-2.92
Ag (0.4935, 0.5000, 0.2566)  6 S 2.62-2.79
S (0.1425, 0.5000, 0.1183)  1 Cr 2.42, 2 Ta 2.46
S (0.1608, 0.5000, 0.5945)  3 Cr 2.39-2.43
S (0.3179, 0.0000, 0.8842)  1 Ta 2.41, 2 Cr 2.41, 1 Ag 2.63
S (0.3324, 0.0000, 0.4022)  3 Cr 2.39-2.43
S (0.6317, 0.0000, 0.1001)  2 Cr 2.41, 1 Ta 2.54
S (0.6649, 0.0000, 0.6070)  3 Cr 2.35-2.40
S (0.7961, 0.5000, 0.8937)  1 Cr 2.44, 2 Ta 2.52
S (0.8296, 0.5000, 0.3892)  3 Cr 2.35-2.40, 1 Ag 2.62

## TaCr3Ag2S8 (PBE-GGA)

Data for an optimized crystal structure of TaCr3Ag2S8.

As for the space group: P1. The formation energy from raw total energies is -8.96 eV per formula unit. Its energy above the most stable polymorph in this dataset is 0.0 meV/atom.

Cell: 6.0403 6.9444 14.4914 Å, 80.71 85.33 89.40°
Last column: nearest neighbours and their distance in Å.
Positions (direct):
Ta (0.0000, 0.0000, 0.0000)  5 S 2.34-2.60
Ta (0.1001, 0.1783, 0.4894)  5 S 2.35-2.61
Cr (0.0513, 0.6464, 0.4857)  6 S 2.38-2.45
Cr (0.4453, 0.7343, 0.9997)  6 S 2.39-2.42
Cr (0.4569, 0.2238, 0.9967)  6 S 2.38-2.45
Cr (0.5464, 0.9036, 0.4875)  6 S 2.37-2.46
Cr (0.5539, 0.3990, 0.4895)  6 S 2.38-2.45
Cr (0.9530, 0.4722, 0.9972)  6 S 2.38-2.45
Ag (0.3365, 0.5818, 0.7433)  2 S 2.37
Ag (0.5579, 0.8934, 0.2608)  3 S 2.44-2.65
Ag (0.6607, 0.3278, 0.2445)  2 S 2.38-2.39
Ag (0.8344, 0.7893, 0.7425)  2 S 2.39-2.40
S (0.0990, 0.6913, 0.0931)  2 Cr 2.39-2.44, 1 Ta 2.44
S (0.1156, 0.2032, 0.1014)  1 Ta 2.34, 2 Cr 2.45
S (0.2343, 0.9300, 0.3920)  2 Cr 2.42-2.43, 1 Ta 2.49, 1 Ag 2.65
S (0.2549, 0.4439, 0.3840)  1 Ta 2.35, 2 Cr 2.45
S (0.3049, 0.5110, 0.9096)  1 Ag 2.37, 3 Cr 2.38-2.40
S (0.3221, 0.0147, 0.8948)  1 Ta 2.36, 2 Cr 2.42
S (0.3655, 0.6247, 0.5768)  3 Cr 2.37-2.39, 1 Ag 2.37
S (0.3813, 0.1198, 0.5927)  1 Ta 2.35, 2 Cr 2.44-2.46
S (0.5998, 0.4473, 0.0851)  3 Cr 2.38-2.39, 1 Ag 2.38
S (0.6095, 0.9478, 0.0901)  2 Cr 2.38-2.40, 1 Ag 2.44, 1 Ta 2.60
S (0.7308, 0.6786, 0.3973)  3 Cr 2.38-2.40, 1 Ag 2.57
S (0.7431, 0.1811, 0.3987)  2 Cr 2.38-2.40, 1 Ag 2.39, 1 Ta 2.61
S (0.8034, 0.2581, 0.9026)  2 Cr 2.40-2.41, 1 Ta 2.45
S (0.8029, 0.7562, 0.9098)  2 Cr 2.38-2.42, 1 Ag 2.39, 1 Ta 2.65
S (0.8654, 0.3725, 0.5829)  2 Cr 2.39-2.41, 1 Ta 2.43
S (0.8713, 0.8711, 0.5749)  2 Cr 2.38-2.41, 1 Ag 2.40, 1 Ta 2.63

## TaCr3Ag2S8 (PBE-GGA)

Data for an optimized crystal structure of TaCr3Ag2S8.

As for the space group: R-3m. The calculation puts the density of states at the Fermi level at 0.8 states/eV/f.u. The formation energy from raw total energies is -8.80 eV per formula unit. Its energy above the most stable polymorph in this dataset is 11.4 meV/atom.

Cell: 7.1975 7.1975 7.1975 Å, 61.43 61.43 61.43°
Last column: nearest neighbours and their distance in Å.
Positions (direct):
Ta (0.0000, 0.0000, 0.0000)  6 S 2.47
Cr (0.0000, 0.0000, 0.5000)  6 S 2.42-2.44
Cr (0.0000, 0.5000, 0.0000)  6 S 2.42-2.44
Cr (0.5000, 0.0000, 0.0000)  6 S 2.42-2.44
Ag (0.3733, 0.3733, 0.3733)  4 S 2.45-2.48
Ag (0.6267, 0.6267, 0.6267)  4 S 2.45-2.48
S (0.2127, 0.7604, 0.7604)  2 Cr 2.44, 1 Ta 2.47, 1 Ag 2.48
S (0.2330, 0.2330, 0.2330)  3 Cr 2.42, 1 Ag 2.45
S (0.2396, 0.2396, 0.7873)  2 Cr 2.44, 1 Ta 2.47, 1 Ag 2.48
S (0.2396, 0.7873, 0.2396)  2 Cr 2.44, 1 Ta 2.47, 1 Ag 2.48
S (0.7604, 0.2127, 0.7604)  2 Cr 2.44, 1 Ta 2.47, 1 Ag 2.48
S (0.7604, 0.7604, 0.2127)  2 Cr 2.44, 1 Ta 2.47, 1 Ag 2.48
S (0.7670, 0.7670, 0.7670)  3 Cr 2.42, 1 Ag 2.45
S (0.7873, 0.2396, 0.2396)  2 Cr 2.44, 1 Ta 2.47, 1 Ag 2.48

## TaCr3Ag2S8 (PBE-GGA)

Data for an optimized crystal structure of TaCr3Ag2S8.

As for the space group: P2_1/m. The calculation puts the density of states at the Fermi level at 4.1 states/eV/f.u. The formation energy from raw total energies is -7.19 eV per formula unit. Its energy above the most stable polymorph in this dataset is 126.7 meV/atom.

Cell: 12.0704 3.4720 12.0710 Å, 90.00 90.55 90.00°
Last column: nearest neighbours and their distance in Å.
Positions (direct):
Ta (0.2144, 0.2500, 0.3373)  6 S 2.45-2.53
Ta (0.7856, 0.7500, 0.6627)  6 S 2.45-2.53
Cr (0.0784, 0.7500, 0.0964)  6 S 2.38-2.55
Cr (0.2887, 0.2500, 0.8349)  6 S 2.36-2.62
Cr (0.4170, 0.7500, 0.6049)  6 S 2.33-2.58
Cr (0.5830, 0.2500, 0.3951)  6 S 2.33-2.58
Cr (0.7113, 0.7500, 0.1651)  6 S 2.36-2.62
Cr (0.9216, 0.2500, 0.9036)  6 S 2.38-2.55
Ag (0.0904, 0.2500, 0.6373)  7 S 2.65-2.95
Ag (0.4251, 0.2500, 0.1124)  5 S 2.57-2.81
Ag (0.5749, 0.7500, 0.8876)  5 S 2.57-2.81
Ag (0.9096, 0.7500, 0.3627)  7 S 2.65-2.95
S (0.0371, 0.2500, 0.2245)  2 Cr 2.38, 1 Ta 2.53
S (0.1147, 0.2500, 0.9631)  4 Cr 2.41-2.62
S (0.1179, 0.7500, 0.4419)  2 Ta 2.45, 1 Ag 2.68
S (0.2442, 0.7500, 0.6996)  3 Cr 2.39-2.44, 2 Ag 2.65
S (0.2640, 0.7500, 0.1987)  2 Ta 2.49, 1 Cr 2.55
S (0.3694, 0.7500, 0.9402)  2 Cr 2.36, 1 Ag 2.57
S (0.3797, 0.2500, 0.4594)  1 Ta 2.47, 3 Cr 2.51-2.58
S (0.4558, 0.2500, 0.7284)  3 Cr 2.33-2.40
S (0.5442, 0.7500, 0.2716)  3 Cr 2.33-2.40
S (0.6203, 0.7500, 0.5406)  1 Ta 2.47, 3 Cr 2.51-2.58
S (0.6306, 0.2500, 0.0598)  2 Cr 2.36, 1 Ag 2.57
S (0.7360, 0.2500, 0.8013)  2 Ta 2.49, 1 Cr 2.55
S (0.7558, 0.2500, 0.3004)  3 Cr 2.39-2.44, 2 Ag 2.65
S (0.8821, 0.2500, 0.5581)  2 Ta 2.45, 1 Ag 2.68
S (0.8853, 0.7500, 0.0369)  4 Cr 2.41-2.62
S (0.9629, 0.7500, 0.7755)  2 Cr 2.38, 1 Ta 2.53

## TaCr3Ag2S8 (PBE-GGA)

Data for an optimized crystal structure of TaCr3Ag2S8.

As for the space group: P2/m. The calculation puts the density of states at the Fermi level at 0.7 states/eV/f.u. The formation energy from raw total energies is -8.53 eV per formula unit. Its energy above the most stable polymorph in this dataset is 30.4 meV/atom.

Cell: 5.9977 6.9757 6.6718 Å, 90.00 98.22 90.00°
Last column: nearest neighbours and their distance in Å.
Positions (direct):
Ta (0.0000, 0.0000, 0.0000)  6 S 2.47-2.48
Cr (0.0000, 0.5000, 0.0000)  6 S 2.39-2.43
Cr (0.5000, 0.2507, 0.0000)  6 S 2.38-2.43
Cr (0.5000, 0.7493, 0.0000)  6 S 2.38-2.43
Ag (0.0000, 0.0000, 0.5000)  2 S 2.50
Ag (0.0000, 0.5000, 0.5000)  2 S 2.53
S (0.2020, 0.2543, 0.2112)  2 Cr 2.43, 1 Ta 2.47
S (0.2020, 0.7457, 0.2112)  2 Cr 2.43, 1 Ta 2.47
S (0.3042, 0.5000, 0.8054)  3 Cr 2.38-2.39, 1 Ag 2.53
S (0.3119, 0.0000, 0.7925)  2 Cr 2.41, 1 Ta 2.48, 1 Ag 2.50
S (0.6881, 0.0000, 0.2075)  2 Cr 2.41, 1 Ta 2.48, 1 Ag 2.50
S (0.6958, 0.5000, 0.1946)  3 Cr 2.38-2.39, 1 Ag 2.53
S (0.7980, 0.2543, 0.7888)  2 Cr 2.43, 1 Ta 2.47
S (0.7980, 0.7457, 0.7888)  2 Cr 2.43, 1 Ta 2.47

## TaCr3Ag2S8 (PBE-GGA)

Data for an optimized crystal structure of TaCr3Ag2S8.

As for the space group: Pmc2_1. The calculation puts the density of states at the Fermi level at 4.0 states/eV/f.u. The formation energy from raw total energies is -7.16 eV per formula unit. Its energy above the most stable polymorph in this dataset is 128.5 meV/atom.

Cell: 3.4796 12.0287 12.0773 Å, 90.00 90.00 90.00°
Last column: nearest neighbours and their distance in Å.
Positions (direct):
Ta (0.0000, 0.0357, 0.0000)  6 S 2.43-2.56
Ta (0.0000, 0.9643, 0.5000)  6 S 2.43-2.56
Cr (0.0000, 0.3405, 0.4350)  5 S 2.35-2.42
Cr (0.0000, 0.6595, 0.9350)  5 S 2.35-2.42
Cr (0.5000, 0.1773, 0.2384)  6 S 2.35-2.53
Cr (0.5000, 0.4618, 0.6706)  6 S 2.38-2.56
Cr (0.5000, 0.5382, 0.1706)  6 S 2.38-2.56
Cr (0.5000, 0.8227, 0.7384)  6 S 2.35-2.53
Ag (0.0000, 0.1756, 0.6922)  5 S 2.57-2.79
Ag (0.0000, 0.8244, 0.1922)  5 S 2.57-2.79
Ag (0.5000, 0.3477, 0.9453)  5 S 2.66-2.74
Ag (0.5000, 0.6523, 0.4453)  5 S 2.66-2.74
S (0.0000, 0.1288, 0.3786)  1 Ta 2.46, 3 Cr 2.50-2.64
S (0.0000, 0.2150, 0.1137)  2 Cr 2.35, 1 Ta 2.56
S (0.0000, 0.3735, 0.7718)  2 Cr 2.38, 1 Ag 2.57
S (0.0000, 0.4903, 0.0380)  3 Cr 2.39-2.43
S (0.0000, 0.5097, 0.5380)  3 Cr 2.39-2.43
S (0.0000, 0.6265, 0.2718)  2 Cr 2.38, 1 Ag 2.57
S (0.0000, 0.7850, 0.6137)  2 Cr 2.35, 1 Ta 2.56
S (0.0000, 0.8712, 0.8786)  1 Ta 2.46, 3 Cr 2.50-2.64
S (0.5000, 0.0100, 0.6429)  2 Ta 2.51, 1 Cr 2.53, 2 Ag 2.71
S (0.5000, 0.1321, 0.8970)  2 Ta 2.43, 1 Ag 2.66
S (0.5000, 0.2976, 0.5587)  3 Cr 2.35-2.39
S (0.5000, 0.3687, 0.2983)  4 Cr 2.41-2.56
S (0.5000, 0.6313, 0.7983)  4 Cr 2.41-2.56
S (0.5000, 0.7024, 0.0587)  3 Cr 2.35-2.39
S (0.5000, 0.8679, 0.3970)  2 Ta 2.43, 1 Ag 2.66
S (0.5000, 0.9900, 0.1429)  2 Ta 2.51, 1 Cr 2.53, 2 Ag 2.71

Question: Among the records above, which one has the lowest energy above the most stable polymorph in this dataset?
Answer: number 2